PmCo3SiB | PBE | relaxed

Unit cell a=6.1499 b=6.1499 c=5.5366 alpha=90.00 beta=90.00 gamma=128.12
Closest atoms and distances in Å follow each position.
Fractional positions:
Pm  0.2404  0.7596  0.7500  4 Co 2.78-2.91, 1 B 2.88, 4 Si 3.07-3.10
Pm  0.7596  0.2404  0.2500  4 Co 2.78-2.91, 1 B 2.88, 4 Si 3.07-3.10
Co  0.2494  0.2494  0.0000  2 B 1.93
Co  0.2494  0.2494  0.5000  2 B 1.93
Co  0.3219  0.6781  0.2500  1 B 1.96
Co  0.6781  0.3219  0.7500  1 B 1.96
Co  0.7506  0.7506  0.0000  2 B 1.93
Co  0.7506  0.7506  0.5000  2 B 1.93
Si  0.1196  0.8804  0.2500  5 Co 2.24-2.34
Si  0.8804  0.1196  0.7500  5 Co 2.24-2.34
B  0.4987  0.5013  0.2500  5 Co 1.93-1.96
B  0.5013  0.4987  0.7500  5 Co 1.93-1.96

Summary:
symmetry: No. 63
total magnetic moment: 0.00 μB/atom
total energy: -80.815 eV for the cell shown
E_form (uncorrected): -0.373 eV per atom

CaYSi2 | PBE | relaxed

Unit cell a=3.8419 b=5.7717 c=8.1192 alpha=90.00 beta=90.00 gamma=90.00
Closest atoms and distances in Å follow each position.
Fractional positions:
Ca  0.0000  0.1371  0.0000  7 Si 3.01-3.23
Ca  0.0000  0.8629  0.5000  7 Si 3.01-3.23
Y  0.5000  0.3605  0.3586  7 Si 3.00-3.16
Y  0.5000  0.6395  0.8586  7 Si 3.00-3.16
Si  0.0000  0.3815  0.6419  2 Si 2.46
Si  0.0000  0.6185  0.1419  2 Si 2.46
Si  0.5000  0.1353  0.7135  2 Si 2.46
Si  0.5000  0.8647  0.2135  2 Si 2.46

Summary:
symmetry: No. 26
total magnetic moment: 0.00 μB/atom
ΔE to the lowest computed polymorph: 0.40 kJ per mole of atoms
total energy: -43.864 eV for the cell shown
E_form (uncorrected): -0.655 eV per atom